Entry from Alexandria: a geometry-optimized InIrI structure (PBE).

a = 3.7386 Å, b = 4.0931 Å, c = 20.4216 Å
α = 90.00°, β = 90.00°, γ = 90.00°
Closest atoms and distances in Å follow each position.
Positions (direct):
Ir 0.0000 0.5000 0.4766  2 I 2.76, 4 In 2.79, 2 Ir 2.90
Ir 0.0000 0.0000 0.8683  1 I 2.70, 6 In 2.79-2.82, 2 Ir 2.90
In 0.5000 0.5000 0.8416  4 Ir 2.82, 2 In 3.07
I 0.5000 0.5000 0.5762  2 Ir 2.76
In 0.0000 0.0000 0.3416  4 Ir 2.82, 2 In 3.07
Ir 0.5000 0.5000 0.3683  1 I 2.70, 6 In 2.79-2.82, 2 Ir 2.90
I 0.0000 0.0000 0.7362  1 Ir 2.70
In 0.5000 0.0000 0.4611  6 Ir 2.79, 2 In 3.07, 2 I 3.12
I 0.5000 0.5000 0.2362  1 Ir 2.70
Ir 0.5000 0.0000 0.9766  2 I 2.76, 4 In 2.79, 2 Ir 2.90
I 0.0000 0.0000 0.0762  2 Ir 2.76
In 0.0000 0.5000 0.9611  6 Ir 2.79, 2 In 3.07, 2 I 3.12

Summary:
The raw formation energy comes out at 40 meV/atom. The calculated total energy comes out at -4.343 eV/atom. Its spin magnetization is 0.0 μB per formula unit.